(1)
First-principles (PBE) data for a geometry-optimized Mn2CuAs structure, as listed in the Alexandria database.

The space group is R-3m (No. 166, hexagonal axes) and the conventional cell measures 2.8280, 2.8280 and 24.2577 Å, with angles of 90.00, 90.00 and 120.00 degrees. Symmetry generates all atoms from Mn at (0.0000, 0.0000, 0.2502), Cu at (0.0000, 0.0000, 0.5000) and As at (0.0000, 0.0000, 0.0000).

The value obtained for the formation energy is 0.295 eV per atom.



(2)
First-principles (PBE) data for a geometry-optimized Pu2Si3Pt2 structure, as listed in the Alexandria database.

The space group is Cmcm (No. 63) and the conventional cell measures 4.177, 17.653 and 6.963 Å, with angles of 90.00, 90.00 and 90.00 degrees. Symmetry generates all atoms from Pu at (0.000, 0.054, 0.250), Pu at (0.000, 0.150, 0.750), Si at (0.000, 0.224, 0.250), Si at (0.000, 0.440, 0.073) and Pt at (0.000, 0.308, 0.548).

The raw formation energy comes out at -71.77 kJ/mol of atoms.



(3)
First-principles (PBE) data for a geometry-optimized KDySi2O6 structure, as listed in the Alexandria database.

The space group is C2/c (No. 15) and the conventional cell measures 10.327, 9.888 and 5.468 Å, with angles of 90.00, 102.79 and 90.00 degrees. Symmetry generates all atoms from K at (0.000, 0.177, 0.250), Dy at (0.000, 0.384, 0.750), Si at (0.218, 0.082, 0.784), O at (0.119, 0.427, 0.145), O at (0.149, 0.229, 0.726) and O at (0.165, 0.011, 0.022).

The raw formation energy comes out at -280.87 kJ/mol of atoms.



(4)
First-principles (PBE) data for a geometry-optimized Sr3RhBr structure, as listed in the Alexandria database.

The space group is Pm-3m (No. 221) and the conventional cell measures 5.844, 5.844 and 5.844 Å, with angles of 90.00, 90.00 and 90.00 degrees. Symmetry generates all atoms from Sr at (0.000, 0.000, 0.500), Rh at (0.000, 0.000, 0.000) and Br at (0.500, 0.500, 0.500).

The value obtained for the energy relative to the lowest polymorph listed for this composition is 0.188 eV/atom. The raw formation energy comes out at -50.78 kJ/mol of atoms.



(5)
First-principles (PBE) data for a geometry-optimized AcGdMgSc structure, as listed in the Alexandria database.

The space group is F-43m (No. 216) and the conventional cell measures 7.921, 7.921 and 7.921 Å, with angles of 90.00, 90.00 and 90.00 degrees. Symmetry generates all atoms from Ac at (0.000, 0.000, 0.000), Gd at (0.000, 0.000, 0.500), Mg at (0.250, 0.250, 0.750) and Sc at (0.250, 0.250, 0.250).

The value obtained for the formation energy is 0.045 eV per atom.



(6)
First-principles (PBE) data for a geometry-optimized KTc2Au structure, as listed in the Alexandria database.

The space group is Immm (No. 71) and the conventional cell measures 2.673, 4.997 and 11.484 Å, with angles of 90.00, 90.00 and 90.00 degrees. Symmetry generates all atoms from K at (0.000, 0.000, 0.000), Tc at (0.000, 0.500, 0.218) and Au at (0.000, 0.000, 0.500).

The value obtained for the energy relative to the lowest polymorph listed for this composition is 0.398 eV/atom. The value obtained for the formation energy is 0.822 eV per atom.



(7)
First-principles (PBE) data for a geometry-optimized Tc2NiSnC structure, as listed in the Alexandria database.

The space group is P4/mmm (No. 123) and the conventional cell measures 4.185, 4.185 and 3.820 Å, with angles of 90.00, 90.00 and 90.00 degrees. Symmetry generates all atoms from Tc at (0.000, 0.500, 0.000), Ni at (0.000, 0.000, 0.500), Sn at (0.500, 0.500, 0.500) and C at (0.000, 0.000, 0.000).

The value obtained for the formation energy is 0.094 eV per atom.



(8)
First-principles (PBE) data for a geometry-optimized BaHf2Au2 structure, as listed in the Alexandria database.

The space group is P4/mbm (No. 127) and the conventional cell measures 8.619, 8.619 and 3.135 Å, with angles of 90.00, 90.00 and 90.00 degrees. Symmetry generates all atoms from Ba at (0.000, 0.000, 0.000), Hf at (0.127, 0.373, 0.000) and Au at (0.167, 0.667, 0.500).

The value obtained for the energy relative to the lowest polymorph listed for this composition is 0.081 eV/atom. The value obtained for the formation energy is -0.138 eV per atom.